[1]
First-principles (PBE) data for Au2S2I after structural relaxation, as listed in Alexandria via LeMat-Bulk.

Summary:
- final energy (eV/atom) = -2.9815
- energy above the lowest structure with this stoichiometry (eV/atom) = 0.0971

a = 7.9406 Å, b = 7.9406 Å, c = 4.4007 Å
α = 90.00°, β = 90.00°, γ = 90.00°
Closest atoms and distances in Å follow each position.
Space group P4/mbm (No. 127)
One atom of each set of equivalent atoms:
Au 0.1298 0.3702 0.0000 (multiplicity 4)  2 S 2.33
S 0.1984 0.3016 0.5000 (multiplicity 4)  2 Au 2.33
I 0.0000 0.0000 0.5000 (multiplicity 2)  4 S 2.87

---

[2]
First-principles (PBE) data for CaHfBe3 after structural relaxation, as listed in Alexandria via LeMat-Bulk.

Summary:
- final energy (eV/atom) = -2.9487
- E_form (eV per atom) = 1.678
- energy above the lowest structure with this stoichiometry (eV/atom) = 0.5416

a = 4.4340 Å, b = 4.4340 Å, c = 4.4340 Å
α = 90.00°, β = 90.00°, γ = 90.00°
Closest atoms and distances in Å follow each position.
Space group Pm-3m (No. 221)
One atom of each set of equivalent atoms:
Ca 0.0000 0.0000 0.0000 (multiplicity 1)  6 Be 2.22
Hf 0.5000 0.5000 0.5000 (multiplicity 1)  12 Be 3.14
Be 0.0000 0.0000 0.5000 (multiplicity 3)  2 Ca 2.22

---

[3]
First-principles (PBE) data for Dy4Ga12Re after structural relaxation, as listed in Alexandria via LeMat-Bulk.

Summary:
- final energy (eV/atom) = -4.4594
- E_form (eV per atom) = -0.508

a = 8.6354 Å, b = 8.6354 Å, c = 8.6354 Å
α = 90.00°, β = 90.00°, γ = 90.00°
Closest atoms and distances in Å follow each position.
Space group Im-3m (No. 229)
One atom of each set of equivalent atoms:
Dy 0.2500 0.2500 0.2500 (multiplicity 8)  12 Ga 3.05-3.07
Ga 0.0000 0.0000 0.2922 (multiplicity 12)  1 Re 2.52, 4 Ga 2.81
Ga 0.0000 0.2500 0.5000 (multiplicity 12)  8 Ga 2.81-3.05, 4 Dy 3.05
Re 0.0000 0.0000 0.0000 (multiplicity 2)  6 Ga 2.52

---

[4]
First-principles (PBE) data for Li2LaInF8 after structural relaxation, as listed in Alexandria via LeMat-Bulk.

Summary:
- final energy (eV/atom) = -5.3680

a = 3.9665 Å, b = 5.2123 Å, c = 7.7066 Å
α = 96.72°, β = 90.09°, γ = 96.95°
Closest atoms and distances in Å follow each position.
Space group P-1 (No. 2)
One atom of each set of equivalent atoms:
Li 0.0529 0.4549 0.3039 (multiplicity 2)  5 F 2.01-2.09
La 0.5000 0.0000 0.0000 (multiplicity 1)  8 F 2.35-2.49
In 0.5000 0.0000 0.5000 (multiplicity 1)  6 F 2.16-2.20
F 0.0543 0.2563 0.0581 (multiplicity 2)  1 Li 2.05
F 0.0843 0.2457 0.5147 (multiplicity 2)  2 Li 2.07-2.09, 1 In 2.20
F 0.3920 0.7548 0.2518 (multiplicity 2)  1 Li 2.01, 1 In 2.18
F 0.4149 0.7510 0.7045 (multiplicity 2)  1 Li 2.02, 1 In 2.16